## Ba2YF7 (PBEsol)

Data for an optimized crystal structure of Ba2YF7.

## Properties
The total magnetization comes out at 0.00 μB per formula unit. The energy above the lowest structure with this stoichiometry is 31.8 meV per atom. Its space-group type is C2/c, No. 15. For the density of states at the Fermi level, the calculation gives 0.00 states/eV/f.u. The total energy is -128.92 eV per cell. Its density is 5.52 g/cm3. As for the energy relative to the elements, uncorrected: -3.985 eV per atom.

Cell: 6.6872 7.5660 7.6758 Å, 63.96 64.18 63.77°
Closest atoms and distances in Å follow each position.
Atoms (fractional coordinates):
F 0.3674 0.7032 0.0450  1 Y 2.30
F 0.9442 0.9101 0.9252  2 Y 2.33-2.47, 2 F 2.55-2.60
Ba 0.3144 0.0992 0.2593  9 F 2.58-2.86
F 0.2205 0.4101 0.4252  2 Y 2.33-2.47, 2 F 2.55-2.60
F 0.1156 0.7968 0.4550  1 Y 2.30
F 0.3034 0.9887 0.6381  1 Y 2.25
F 0.6966 0.0113 0.3619  1 Y 2.25
Ba 0.6856 0.9008 0.7407  9 F 2.58-2.86
F 0.0558 0.0899 0.0748  2 Y 2.33-2.47, 2 F 2.55-2.60
Y 0.0136 0.2500 0.7500  9 F 2.25-2.47
F 0.3623 0.2500 0.7500  1 Y 2.33, 2 Ba 2.58
F 0.9302 0.5113 0.8619  1 Y 2.25
F 0.6377 0.7500 0.2500  1 Y 2.33, 2 Ba 2.58
F 0.7795 0.5899 0.5748  2 Y 2.33-2.47, 2 F 2.55-2.60
F 0.6326 0.2968 0.9550  1 Y 2.30
Ba 0.6729 0.4008 0.2407  9 F 2.58-2.86
Y 0.9864 0.7500 0.2500  9 F 2.25-2.47
F 0.8844 0.2032 0.5450  1 Y 2.30
Ba 0.3271 0.5992 0.7593  9 F 2.58-2.86
F 0.0698 0.4887 0.1381  1 Y 2.25